## RbGaC (PBE)

Data for crystalline RbGaC at its relaxed geometry.

The space group is P1 (No. 1) and the conventional cell measures 4.695, 7.117 and 7.392 Å, with angles of 89.30, 75.80 and 81.29 degrees. The distinct sites, in fractional coordinates, are Rb at (0.000, 0.000, 0.000), Rb at (0.163, 0.566, 0.559), Ga at (0.391, 0.433, 0.013), Ga at (0.830, 0.524, 0.134), C at (0.514, 0.714, 0.811) and C at (0.662, 0.678, 0.934).

For the total energy, the calculation gives -4.05 eV per atom. Its crystal system is triclinic.

***

## SrAs3Ru (PBE)

Data for crystalline SrAs3Ru at its relaxed geometry.

The space group is Pm-3m (No. 221) and the conventional cell measures 4.914, 4.914 and 4.914 Å, with angles of 90.00, 90.00 and 90.00 degrees. The distinct sites, in fractional coordinates, are Sr at (0.000, 0.000, 0.000), As at (0.000, 0.500, 0.500) and Ru at (0.500, 0.500, 0.500).

Its crystal system is cubic. The value obtained for the energy above the lowest structure with this stoichiometry is 0.000 eV/atom.